# CrReOs2 | Alexandria via LeMat-Bulk | PBE | relaxed
# Magnetic moment in μB/cell: 0.6
# Polymorph energy (0 for the lowest one) in meV per atom: 41
# Formation energy in eV per atom: 0.115
data_CrReOs2
_chemical_formula_sum 'Cr1 Re1 Os2'
_cell_length_a 2.722
_cell_length_b 3.790
_cell_length_c 5.434
_cell_angle_alpha 90.00
_cell_angle_beta 90.00
_cell_angle_gamma 90.00
_symmetry_space_group_name_H-M 'P 1'
_symmetry_Int_Tables_number 1
loop_
_symmetry_equiv_pos_as_xyz
'x,y,z'
loop_
_atom_site_label
_atom_site_type_symbol
_atom_site_fract_x
_atom_site_fract_y
_atom_site_fract_z
Cr1 Cr 0.500 0.500 0.759
Os1 Os 0.000 0.000 0.984
Os2 Os 0.500 0.500 0.251
Re1 Re 0.000 0.000 0.507

***

# Hg2SI | Alexandria via LeMat-Bulk | PBE | relaxed
# Magnetic moment in μB/cell: 0.0
# Polymorph energy (0 for the lowest one) in meV per atom: 119
# Energy relative to the elements, uncorrected in eV/atom: -0.02
data_Hg2SI
_chemical_formula_sum 'Hg6 S3 I3'
_cell_length_a 7.364
_cell_length_b 7.365
_cell_length_c 8.919
_cell_angle_alpha 90.00
_cell_angle_beta 90.00
_cell_angle_gamma 120.00
_symmetry_space_group_name_H-M 'P 1'
_symmetry_Int_Tables_number 1
loop_
_symmetry_equiv_pos_as_xyz
'x,y,z'
loop_
_atom_site_label
_atom_site_type_symbol
_atom_site_fract_x
_atom_site_fract_y
_atom_site_fract_z
Hg1 Hg 0.915 0.338 0.455
Hg2 Hg 0.662 0.577 0.788
Hg3 Hg 0.423 0.085 0.122
Hg4 Hg 0.338 0.915 0.545
Hg5 Hg 0.577 0.662 0.212
Hg6 Hg 0.085 0.423 0.878
S1 S 0.000 0.620 0.667
S2 S 0.620 0.000 0.333
S3 S 0.380 0.380 0.000
I1 I 0.000 0.659 0.167
I2 I 0.659 0.000 0.833
I3 I 0.341 0.341 0.500

***

# TbPuP2Rh2 | Alexandria via LeMat-Bulk | PBE | relaxed
# Magnetic moment in μB/cell: 4.6
# Formation energy in eV per atom: -1.086
data_TbPuP2Rh2
_chemical_formula_sum 'Tb1 Pu1 P2 Rh2'
_cell_length_a 4.059
_cell_length_b 4.059
_cell_length_c 7.878
_cell_angle_alpha 90.00
_cell_angle_beta 90.00
_cell_angle_gamma 120.00
_symmetry_space_group_name_H-M 'P 1'
_symmetry_Int_Tables_number 1
loop_
_symmetry_equiv_pos_as_xyz
'x,y,z'
loop_
_atom_site_label
_atom_site_type_symbol
_atom_site_fract_x
_atom_site_fract_y
_atom_site_fract_z
Tb1 Tb 0.000 0.000 0.500
Pu1 Pu 0.000 0.000 0.000
P1 P 0.333 0.667 0.260
P2 P 0.667 0.333 0.740
Rh1 Rh 0.333 0.667 0.761
Rh2 Rh 0.667 0.333 0.239

***

# AgWSe | Alexandria via LeMat-Bulk | PBE | relaxed
# Magnetic moment in μB/cell: 0.0
# Polymorph energy (0 for the lowest one) in meV per atom: 286
# Energy relative to the elements, uncorrected in eV/atom: 0.51
data_AgWSe
_chemical_formula_sum 'Ag1 W1 Se1'
_cell_length_a 7.826
_cell_length_b 7.618
_cell_length_c 2.898
_cell_angle_alpha 83.26
_cell_angle_beta 75.17
_cell_angle_gamma 21.58
_symmetry_space_group_name_H-M 'P 1'
_symmetry_Int_Tables_number 1
loop_
_symmetry_equiv_pos_as_xyz
'x,y,z'
loop_
_atom_site_label
_atom_site_type_symbol
_atom_site_fract_x
_atom_site_fract_y
_atom_site_fract_z
Ag1 Ag 0.017 0.017 0.983
Se1 Se 0.307 0.307 0.693
W1 W 0.676 0.676 0.324

***

# Na4Ti2Sb | Alexandria via LeMat-Bulk | PBE | relaxed
# Magnetic moment in μB/cell: 5.2
# Energy relative to the elements, uncorrected in eV/atom: 0.79
data_Na4Ti2Sb
_chemical_formula_sum 'Na4 Ti2 Sb1'
_cell_length_a 5.904
_cell_length_b 5.904
_cell_length_c 8.806
_cell_angle_alpha 70.41
_cell_angle_beta 70.41
_cell_angle_gamma 90.00
_symmetry_space_group_name_H-M 'P 1'
_symmetry_Int_Tables_number 1
loop_
_symmetry_equiv_pos_as_xyz
'x,y,z'
loop_
_atom_site_label
_atom_site_type_symbol
_atom_site_fract_x
_atom_site_fract_y
_atom_site_fract_z
Sb1 Sb 0.000 0.000 0.000
Na1 Na 0.805 0.805 0.391
Na2 Na 0.195 0.195 0.609
Na3 Na 0.000 0.500 0.000
Na4 Na 0.500 0.000 0.000
Ti1 Ti 0.581 0.581 0.837
Ti2 Ti 0.419 0.419 0.163

***

# SrReAs2Se | Alexandria via LeMat-Bulk | PBE | relaxed
# Magnetic moment in μB/cell: 0.2
# Polymorph energy (0 for the lowest one) in meV per atom: 2377
# Energy relative to the elements, uncorrected in eV/atom: 2.13
data_SrReAs2Se
_chemical_formula_sum 'Sr1 Re1 As2 Se1'
_cell_length_a 5.432
_cell_length_b 5.432
_cell_length_c 5.414
_cell_angle_alpha 90.00
_cell_angle_beta 90.00
_cell_angle_gamma 90.00
_symmetry_space_group_name_H-M 'P 1'
_symmetry_Int_Tables_number 1
loop_
_symmetry_equiv_pos_as_xyz
'x,y,z'
loop_
_atom_site_label
_atom_site_type_symbol
_atom_site_fract_x
_atom_site_fract_y
_atom_site_fract_z
Re1 Re 0.500 0.500 0.500
As1 As 0.000 0.500 0.000
As2 As 0.500 0.000 0.000
Se1 Se 0.000 0.000 0.500
Sr1 Sr 0.000 0.000 0.000